First-principles (PBE) data for a relaxed structure of PrErTmSc, as listed in Alexandria.

Output
**Density of states at the Fermi level**: 5.264 states/eV/f.u.
**Energy above the lowest structure with this stoichiometry**: 42 meV per atom
**Volume**: 30.3 Å³ per atom
**Electronic total energy**: -19.7 eV per cell
**DFT formation energy**: 0.1044 eV/atom
**Space-group type**: No. 216

Geometry as POSCAR:
```
PrErTmSc
1.0
0.000 3.929 3.929
3.929 0.000 3.929
3.929 3.929 0.000
Pr Er Tm Sc
1 1 1 1
direct
0.000 0.000 0.000 Pr
0.500 0.500 0.500 Er
0.250 0.250 0.250 Tm
0.750 0.750 0.750 Sc
```

---

First-principles (PBE) data for a relaxed structure of TlC2, as listed in Alexandria.

Output
**Density of states at the Fermi level**: 1.197 states/eV/f.u.
**Energy above the lowest structure with this stoichiometry**: 2262 meV per atom
**Volume**: 14.9 Å³ per atom
**Electronic total energy**: -11.3 eV per cell
**DFT formation energy**: 3.1641 eV/atom
**Space-group type**: No. 225

Geometry as POSCAR:
```
TlC2
1.0
0.000 2.818 2.818
2.818 0.000 2.818
2.818 2.818 0.000
Tl C
1 2
direct
0.000 0.000 0.000 Tl
0.250 0.250 0.250 C
0.750 0.750 0.750 C
```

---

First-principles (PBE) data for a relaxed structure of SrPu2CuS4, as listed in Alexandria.

Output
**Density of states at the Fermi level**: 16.412 states/eV/f.u.
**Volume**: 22.5 Å³ per atom
**Raw formation energy**: -1.561 eV/atom
**Electronic total energy**: -126.9 eV per cell
**Space-group type**: No. 63

Geometry as POSCAR:
```
SrPu2CuS4
1.0
1.992 -6.627 0.000
1.992 6.627 0.000
0.000 0.000 13.645
Sr Pu Cu S
2 4 2 8
direct
0.113 0.887 0.750 Sr
0.887 0.113 0.250 Sr
0.367 0.633 0.560 Pu
0.367 0.633 0.940 Pu
0.633 0.367 0.060 Pu
0.633 0.367 0.440 Pu
0.154 0.846 0.250 Cu
0.846 0.154 0.750 Cu
0.000 0.000 0.000 S
0.000 0.000 0.500 S
0.269 0.731 0.120 S
0.269 0.731 0.380 S
0.443 0.557 0.750 S
0.557 0.443 0.250 S
0.731 0.269 0.620 S
0.731 0.269 0.880 S
```

---

First-principles (PBE) data for a relaxed structure of ReOs, as listed in Alexandria.

Output
**Density of states at the Fermi level**: 1.780 states/eV/f.u.
**Energy above the lowest structure with this stoichiometry**: 155 meV per atom
**Volume**: 14.7 Å³ per atom
**Electronic total energy**: -47.1 eV per cell
**DFT formation energy**: 0.0618 eV/atom
**Space-group type**: No. 12

Geometry as POSCAR:
```
ReOs
1.0
4.549 -1.374 0.000
4.549 1.374 0.000
-0.821 0.000 4.695
Re Os
2 2
direct
0.123 0.123 0.368 Re
0.877 0.877 0.632 Re
0.376 0.376 0.128 Os
0.624 0.624 0.872 Os
```

---

First-principles (PBE) data for a relaxed structure of SrTc2MoRh, as listed in Alexandria.

Output
**Density of states at the Fermi level**: 7.509 states/eV/f.u.
**Volume**: 24.0 Å³ per atom
**Electronic total energy**: -31.7 eV per cell
**DFT formation energy**: 1.7747 eV/atom
**Space-group type**: No. 123

Geometry as POSCAR:
```
SrTc2MoRh
1.0
4.751 0.000 0.000
0.000 4.751 0.000
0.000 0.000 5.307
Sr Tc Mo Rh
1 2 1 1
direct
0.000 0.000 0.000 Sr
0.000 0.500 0.500 Tc
0.500 0.000 0.500 Tc
0.500 0.500 0.000 Mo
0.000 0.000 0.500 Rh
```

---

First-principles (PBE) data for a relaxed structure of PmCuSi2, as listed in Alexandria.

Output
**Density of states at the Fermi level**: 1.663 states/eV/f.u.
**Energy above the lowest structure with this stoichiometry**: 395 meV per atom
**Volume**: 18.1 Å³ per atom
**Raw formation energy**: -0.197 eV/atom
**Electronic total energy**: -20.5 eV per cell
**Space-group type**: No. 123

Geometry as POSCAR:
```
PmCuSi2
1.0
4.187 0.000 0.000
0.000 4.187 0.000
0.000 0.000 4.140
Pm Cu Si
1 1 2
direct
0.000 0.000 0.000 Pm
0.500 0.500 0.000 Cu
0.000 0.500 0.500 Si
0.500 0.000 0.500 Si
```

---

First-principles (PBE) data for a relaxed structure of La3Tb6NdY2, as listed in Alexandria.

Output
**Density of states at the Fermi level**: 17.132 states/eV/f.u.
**Volume**: 33.5 Å³ per atom
**Electronic total energy**: -60.0 eV per cell
**DFT formation energy**: 0.0184 eV/atom
**Space-group type**: No. 12

Geometry as POSCAR:
```
La3Tb6NdY2
1.0
3.136 -5.434 0.000
3.136 5.434 0.000
-2.092 0.000 11.787
La Tb Nd Y
3 6 1 2
direct
0.000 0.000 0.000 La
0.333 0.667 0.000 La
0.667 0.333 0.000 La
0.085 0.418 0.254 Tb
0.248 0.248 0.746 Tb
0.418 0.085 0.254 Tb
0.582 0.915 0.746 Tb
0.752 0.752 0.254 Tb
0.915 0.582 0.746 Tb
0.500 0.500 0.500 Nd
0.167 0.833 0.500 Y
0.833 0.167 0.500 Y
```

---

First-principles (PBE) data for a relaxed structure of Ac6PrDy5, as listed in Alexandria.

Output
**Density of states at the Fermi level**: 15.874 states/eV/f.u.
**Volume**: 38.1 Å³ per atom
**Electronic total energy**: -51.9 eV per cell
**DFT formation energy**: 0.0452 eV/atom
**Space-group type**: No. 71

Geometry as POSCAR:
```
Ac6PrDy5
1.0
-2.735 5.101 8.187
2.735 -5.101 8.187
2.735 5.101 -8.187
Ac Pr Dy
6 1 5
direct
0.081 0.333 0.748 Ac
0.246 0.000 0.246 Ac
0.415 0.667 0.748 Ac
0.585 0.333 0.252 Ac
0.754 0.000 0.754 Ac
0.919 0.667 0.252 Ac
0.500 0.500 0.000 Pr
0.000 0.500 0.500 Dy
0.168 0.168 0.000 Dy
0.334 0.834 0.500 Dy
0.666 0.166 0.500 Dy
0.832 0.832 0.000 Dy
```